Record 1
A plane-wave DFT calculation with PBE was carried out for crystalline Ac2CdGe4Pt3 at its relaxed geometry.

Values from the calculation:
Energy in eV per cell: -53.97
Density of states at the Fermi level in states/eV/f.u.: 5.164
ΔE_f in kJ/mol of formula units: -795
Space-group type: P-4m2

abc: 4.486 4.486 10.617
angles: 90.00 90.00 90.00
Atoms (fractional coordinates):
Ac 0.500 0.000 0.244
Ac 0.000 0.500 0.756
Cd 0.500 0.500 0.500
Ge 0.500 0.500 0.000
Ge 0.000 0.000 0.000
Ge 0.500 0.000 0.644
Ge 0.000 0.500 0.356
Pt 0.000 0.000 0.500
Pt 0.500 0.000 0.883
Pt 0.000 0.500 0.117

Record 2
A plane-wave DFT calculation with PBE was carried out for crystalline Ti2Re2W3 at its relaxed geometry.

Values from the calculation:
Energy in eV per cell: -79.28
Density of states at the Fermi level in states/eV/f.u.: 5.632
ΔE_f in kJ/mol of formula units: 26
Space-group type: P-1

abc: 2.714 7.075 7.105
angles: 114.97 103.63 103.03
Atoms (fractional coordinates):
Ti 0.157 0.724 0.150
Ti 0.843 0.276 0.850
Re 0.211 0.149 0.441
Re 0.789 0.851 0.559
W 0.000 0.000 0.000
W 0.315 0.573 0.713
W 0.685 0.427 0.287

Record 3
A plane-wave DFT calculation with PBE was carried out for crystalline RbNb2P at its relaxed geometry.

Values from the calculation:
Energy in eV per cell: -46.76
Density of states at the Fermi level in states/eV/f.u.: 3.504
ΔE_f in kJ/mol of formula units: 303
Space-group type: I-42d

abc: 4.923 4.923 9.807
angles: 75.46 75.46 90.00
Atoms (fractional coordinates):
P 0.500 0.500 0.000
P 0.250 0.750 0.500
Nb 0.325 0.125 0.250
Nb 0.425 0.625 0.250
Nb 0.375 0.675 0.750
Nb 0.875 0.575 0.750
Rb 0.000 0.000 0.000
Rb 0.750 0.250 0.500

Record 4
A plane-wave DFT calculation with PBE was carried out for crystalline Y2ScSb at its relaxed geometry.

Values from the calculation:
Energy in eV per cell: -25.21
Formation energy without anion corrections in meV per atom: -458
Density of states at the Fermi level in states/eV/f.u.: 5.806
Space-group type: P4/mmm

abc: 4.710 4.706 4.690
angles: 90.00 90.00 90.00
Atoms (fractional coordinates):
Sb 0.500 0.000 0.500
Sc 0.000 0.500 0.500
Y 0.000 0.000 0.000
Y 0.500 0.500 0.000